1.
Crystalline Li4FeBr at its relaxed geometry. Source: Alexandria via LeMat-Bulk, functional GGA-PBEsol.

Properties
* space-group type: No. 216
* magnetic moment: 0.5489 μB/atom
* energy relative to the elements, uncorrected: 360 meV per atom

abc: 5.334 5.334 5.334
angles: 60.00 60.00 60.00
Each line ends with the local moment (μB).
Atoms (fractional coordinates):
Fe 0.000 0.000 0.000  2.96
Br 0.750 0.750 0.750  0.03
Li 0.374 0.374 0.878  0.01
Li 0.374 0.374 0.374  0.01
Li 0.878 0.374 0.374  0.01
Li 0.374 0.878 0.374  0.01

2.
Crystalline Li2FeBr at its relaxed geometry. Source: Alexandria via LeMat-Bulk, functional GGA-PBEsol.

Properties
* space-group type: No. 225
* energy relative to the lowest polymorph listed for this composition: 0.2509 eV per atom
* magnetic moment: 0.7493 μB/atom
* energy relative to the elements, uncorrected: 290 meV per atom

abc: 4.632 4.632 4.632
angles: 60.00 60.00 60.00
Each line ends with the local moment (μB).
Atoms (fractional coordinates):
Br 0.000 0.000 0.000  0.06
Li 0.250 0.250 0.250  -0.01
Li 0.750 0.750 0.750  -0.01
Fe 0.500 0.500 0.500  2.91

3.
Crystalline Li2FeBr at its relaxed geometry. Source: Alexandria via LeMat-Bulk, functional GGA-PBEsol.

Properties
* space-group type: No. 123
* energy relative to the lowest polymorph listed for this composition: 0.0256 eV per atom
* magnetic moment: 0.7506 μB/atom
* energy relative to the elements, uncorrected: 64 meV per atom

abc: 3.315 4.379 4.379
angles: 90.00 90.00 90.00
Each line ends with the local moment (μB).
Atoms (fractional coordinates):
Li 0.000 0.000 0.500  -0.01
Li 0.000 0.500 0.000  -0.01
Br 0.500 0.000 0.000  0.06
Fe 0.500 0.500 0.500  2.92

4.
Crystalline LiSc2FeBr at its relaxed geometry. Source: Alexandria via LeMat-Bulk, functional GGA-PBEsol.

Properties
* space-group type: No. 123
* magnetic moment: 0.1212 μB/atom
* energy relative to the elements, uncorrected: 694 meV per atom

abc: 4.122 4.935 4.935
angles: 90.00 90.00 90.00
Each line ends with the local moment (μB).
Atoms (fractional coordinates):
Li 0.000 0.000 0.000  -0.06
Fe 0.500 0.500 0.500  2.76
Br 0.500 0.000 0.000  0.02
Sc 0.000 0.000 0.500  -0.62
Sc 0.000 0.500 0.000  -0.62

5.
Crystalline MgFeBr3 at its relaxed geometry. Source: Alexandria via LeMat-Bulk, functional GGA-PBEsol.

Properties
* space-group type: No. 221
* magnetic moment: 0.7956 μB/atom
* energy relative to the elements, uncorrected: -117 meV per atom

abc: 5.133 5.133 5.133
angles: 90.00 90.00 90.00
Each line ends with the local moment (μB).
Atoms (fractional coordinates):
Br 0.000 0.000 0.500  0.02
Br 0.000 0.500 0.000  0.02
Br 0.500 0.000 0.000  0.02
Fe 0.500 0.500 0.500  3.42
Mg 0.000 0.000 0.000  0.00

6.
Crystalline MnFe3Br at its relaxed geometry. Source: Alexandria via LeMat-Bulk, functional GGA-PBEsol.

Properties
* space-group type: No. 221
* magnetic moment: 2.0292 μB/atom
* energy relative to the elements, uncorrected: 1255 meV per atom

abc: 4.267 4.267 4.267
angles: 90.00 90.00 90.00
Each line ends with the local moment (μB).
Atoms (fractional coordinates):
Fe 0.500 0.000 0.000  2.06
Mn 0.500 0.500 0.500  3.98
Fe 0.000 0.000 0.500  2.06
Br 0.000 0.000 0.000  -0.01
Fe 0.000 0.500 0.000  2.06

7.
Crystalline FeMoBr2 at its relaxed geometry. Source: Alexandria via LeMat-Bulk, functional GGA-PBEsol.

Properties
* space-group type: No. 166
* energy relative to the lowest polymorph listed for this composition: 0.0000 eV per atom
* magnetic moment: 0.6172 μB/atom
* energy relative to the elements, uncorrected: 602 meV per atom

abc: 3.145 3.145 8.574
angles: 79.43 79.43 60.00
Each line ends with the local moment (μB).
Atoms (fractional coordinates):
Br 0.093 0.093 0.722  0.01
Fe 0.000 0.000 0.000  2.67
Mo 0.500 0.500 0.500  -0.12
Br 0.907 0.907 0.278  0.01

8.
Crystalline Fe3MoBr at its relaxed geometry. Source: Alexandria via LeMat-Bulk, functional GGA-PBEsol.

Properties
* space-group type: No. 221
* magnetic moment: 1.2337 μB/atom
* energy relative to the elements, uncorrected: 1514 meV per atom

abc: 4.211 4.211 4.211
angles: 90.00 90.00 90.00
Each line ends with the local moment (μB).
Atoms (fractional coordinates):
Fe 0.500 0.000 0.000  1.88
Fe 0.000 0.000 0.500  1.88
Br 0.000 0.000 0.000  0.00
Mo 0.500 0.500 0.500  0.54
Fe 0.000 0.500 0.000  1.88

9.
Crystalline FeMoBr2 at its relaxed geometry. Source: Alexandria via LeMat-Bulk, functional GGA-PBEsol.

Properties
* space-group type: No. 123
* energy relative to the lowest polymorph listed for this composition: 0.1798 eV per atom
* magnetic moment: 0.3307 μB/atom
* energy relative to the elements, uncorrected: 782 meV per atom

abc: 3.172 3.172 6.278
angles: 90.00 90.00 90.00
Each line ends with the local moment (μB).
Atoms (fractional coordinates):
Br 0.000 0.000 0.247  0.01
Fe 0.500 0.500 0.000  2.58
Br 0.000 0.000 0.753  0.01
Mo 0.500 0.500 0.500  -1.12

10.
Crystalline FeBrN2O at its relaxed geometry. Source: Alexandria via LeMat-Bulk, functional GGA-PBEsol.

Properties
* space-group type: No. 123
* magnetic moment: 0.9183 μB/atom
* energy relative to the elements, uncorrected: 1917 meV per atom

abc: 3.790 3.877 3.877
angles: 90.00 90.00 90.00
Each line ends with the local moment (μB).
Atoms (fractional coordinates):
Br 0.000 0.000 0.000  0.00
O 0.500 0.000 0.000  0.13
N 0.000 0.000 0.500  0.26
N 0.000 0.500 0.000  0.26
Fe 0.500 0.500 0.500  3.66

11.
Crystalline NaFeBr4 at its relaxed geometry. Source: Alexandria via LeMat-Bulk, functional GGA-PBEsol.

Properties
* space-group type: No. 62
* magnetic moment: 0.8333 μB/atom
* energy relative to the elements, uncorrected: -777 meV per atom

abc: 7.403 7.390 13.619
angles: 90.00 90.00 90.00
Each line ends with the local moment (μB).
Atoms (fractional coordinates):
Na 0.551 0.750 0.153  0.00
Fe 0.701 0.750 0.898  3.65
Br 0.100 0.750 0.447  0.21
Br 0.736 0.498 0.299  0.19
Br 0.264 0.502 0.701  0.19
Br 0.116 0.250 0.965  0.23
Br 0.236 0.502 0.201  0.19
Fe 0.201 0.250 0.602  3.65
Fe 0.299 0.250 0.102  3.65
Na 0.051 0.250 0.347  0.00
Br 0.236 0.998 0.201  0.19
Br 0.764 0.002 0.799  0.19
Br 0.616 0.750 0.535  0.23
Br 0.764 0.498 0.799  0.19
Br 0.736 0.002 0.299  0.19
Br 0.600 0.250 0.053  0.21
Br 0.400 0.750 0.947  0.21
Na 0.949 0.750 0.653  0.00
Br 0.384 0.250 0.465  0.23
Fe 0.799 0.750 0.398  3.65
Br 0.900 0.250 0.553  0.21
Br 0.884 0.750 0.035  0.23
Na 0.449 0.250 0.847  0.00
Br 0.264 0.998 0.701  0.19

12.
Crystalline NaFeSe2Br at its relaxed geometry. Source: Alexandria via LeMat-Bulk, functional GGA-PBEsol.

Properties
* space-group type: No. 123
* magnetic moment: 0.8443 μB/atom
* energy relative to the elements, uncorrected: 905 meV per atom

abc: 4.990 4.990 5.117
angles: 90.00 90.00 90.00
Each line ends with the local moment (μB).
Atoms (fractional coordinates):
Br 0.000 0.000 0.500  0.12
Fe 0.500 0.500 0.500  3.46
Se 0.000 0.500 0.000  0.13
Na 0.000 0.000 0.000  0.00
Se 0.500 0.000 0.000  0.13